# 1
Cs2UInTe4 | PBE | relaxed

Geometry as CIF:
```
data_Cs2UInTe4
_chemical_formula_sum 'Cs4 U2 In2 Te8'
_space_group_name_H-M_alt 'I -4 2 m'
_space_group_IT_number 121
_space_group_name_Hall 'I -4 2'
_cell_length_a 9.407
_cell_length_b 9.407
_cell_length_c 7.707
_cell_angle_alpha 90.00
_cell_angle_beta 90.00
_cell_angle_gamma 90.00
loop_
_atom_site_label
_atom_site_type_symbol
_atom_site_fract_x
_atom_site_fract_y
_atom_site_fract_z
_atom_site_occupancy
Cs1 Cs 0.000 0.500 0.000 1
U1 U 0.000 0.000 0.000 1
In1 In 0.000 0.000 0.500 1
Te1 Te 0.170 0.170 0.731 1
```

Values from the calculation:
For the formation energy without anion corrections, the calculation gives -669.3 meV/atom.

=====

# 2
Cs3Y3InTe8 | PBE | relaxed

Geometry as CIF:
```
data_Cs3Y3InTe8
_chemical_formula_sum 'Cs6 Y6 In2 Te16'
_space_group_name_H-M_alt 'C 1 2/m 1'
_space_group_IT_number 12
_space_group_name_Hall '-C 2y'
_cell_length_a 15.352
_cell_length_b 8.841
_cell_length_c 10.562
_cell_angle_alpha 90.00
_cell_angle_beta 119.04
_cell_angle_gamma 90.00
loop_
_atom_site_label
_atom_site_type_symbol
_atom_site_fract_x
_atom_site_fract_y
_atom_site_fract_z
_atom_site_occupancy
Cs1 Cs 0.000 0.000 0.000 1
Cs2 Cs 0.250 0.250 0.000 1
Y1 Y 0.000 0.500 0.500 1
Y2 Y 0.250 0.250 0.500 1
In1 In 0.000 0.000 0.500 1
Te1 Te 0.020 0.249 0.312 1
Te2 Te 0.228 0.000 0.688 1
Te3 Te 0.231 0.500 0.692 1
```

Values from the calculation:
For the formation energy without anion corrections, the calculation gives -1115.4 meV/atom.

=====

# 3
CsYInTe3 | PBE | relaxed

Geometry as CIF:
```
data_CsYInTe3
_chemical_formula_sum 'Cs2 Y2 In2 Te6'
_space_group_name_H-M_alt 'P 1 21/m 1'
_space_group_IT_number 11
_space_group_name_Hall '-P 2yb'
_cell_length_a 10.518
_cell_length_b 4.391
_cell_length_c 11.161
_cell_angle_alpha 90.00
_cell_angle_beta 108.46
_cell_angle_gamma 90.00
loop_
_atom_site_label
_atom_site_type_symbol
_atom_site_fract_x
_atom_site_fract_y
_atom_site_fract_z
_atom_site_occupancy
Cs1 Cs 0.192 0.250 0.235 1
Y1 Y 0.357 0.750 0.852 1
In1 In 0.116 0.250 0.571 1
Te1 Te 0.139 0.250 0.836 1
Te2 Te 0.303 0.750 0.561 1
Te3 Te 0.437 0.750 0.141 1
```

Values from the calculation:
For the formation energy without anion corrections, the calculation gives -1001.1 meV/atom.

=====

Number 1: calculated total energy -4.2068 eV per atom. Number 2: calculated total energy -4.4370 eV per atom. Number 3: calculated total energy -4.2479 eV per atom.